A geometry-optimized PrMgTlPd structure, computed with PBE.

Structure (POSCAR):
```
PrMgTlPd
1.0
0.000 3.616 3.616
3.616 0.000 3.616
3.616 3.616 0.000
Pr Mg Tl Pd
1 1 1 1
Direct
0.000 0.000 0.000
0.500 0.500 0.500
0.750 0.750 0.750
0.250 0.250 0.250
```

Properties
Energy of formation = -1.84 eV per formula unit
M_tot = 0.000 μB per atom